No. 1
Y2MnIn: PBEsol geometry, meta-GGA SCAN.

formation energy	-35.1	kJ per mole of atoms

Cell lengths 4.7349, 4.7349, 4.1578 Å; angles 90.00, 90.00, 90.00 degrees
Space group P4/mmm (No. 123)
One atom of each set of equivalent atoms:
1 Y 0.0000 0.5000 0.0000 x2
2 Mn 0.0000 0.0000 0.5000 x1
3 In 0.5000 0.5000 0.5000 x1



No. 2
MgFeHg: PBEsol geometry, meta-GGA SCAN.

formation energy	16.3	kJ per mole of atoms
ΔE to the lowest computed polymorph	0	meV per atom

Cell lengths 4.5269, 4.5269, 2.9341 Å; angles 90.00, 90.00, 120.00 degrees
Space group P3m1 (No. 156)
One atom of each set of equivalent atoms:
1 Mg 0.0000 0.0000 0.0000 x1
2 Fe 0.3333 0.6667 0.4986 x1
3 Hg 0.6667 0.3333 0.5025 x1



No. 3
Y2FeCl: PBEsol geometry, meta-GGA SCAN.

ΔE to the lowest computed polymorph	0	meV per atom

Cell lengths 3.6513, 4.0988, 5.5135 Å; angles 90.00, 90.00, 90.00 degrees
Space group Pmmm (No. 47)
One atom of each set of equivalent atoms:
1 Y 0.0000 0.0000 0.0000 x1
2 Y 0.5000 0.5000 0.5000 x1
3 Fe 0.0000 0.0000 0.5000 x1
4 Cl 0.5000 0.5000 0.0000 x1



No. 4
TaMnTe3: PBEsol geometry, meta-GGA SCAN.

Cell lengths 4.9956, 4.9956, 4.9956 Å; angles 90.00, 90.00, 90.00 degrees
Space group Pm-3m (No. 221)
One atom of each set of equivalent atoms:
1 Ta 0.0000 0.0000 0.0000 x1
2 Mn 0.5000 0.5000 0.5000 x1
3 Te 0.0000 0.5000 0.5000 x3



No. 5
TaTl2Pb: PBEsol geometry, meta-GGA SCAN.

formation energy	36.0	kJ per mole of atoms
ΔE to the lowest computed polymorph	0	meV per atom

Cell lengths 3.0698, 3.0698, 10.4511 Å; angles 90.00, 90.00, 90.00 degrees
Space group P4mm (No. 99)
One atom of each set of equivalent atoms:
1 Ta 0.0000 0.0000 0.0000 x1
2 Tl 0.0000 0.0000 0.4693 x1
3 Tl 0.5000 0.5000 0.2121 x1
4 Pb 0.5000 0.5000 0.7793 x1



No. 6
CaMn2Cu: PBEsol geometry, meta-GGA SCAN.

formation energy	4.5	kJ per mole of atoms

Cell lengths 3.0584, 3.0584, 6.8514 Å; angles 90.00, 90.00, 90.00 degrees
Space group P4mm (No. 99)
One atom of each set of equivalent atoms:
1 Ca 0.0000 0.0000 0.0000 x1
2 Mn 0.0000 0.0000 0.5049 x1
3 Mn 0.5000 0.5000 0.6625 x1
4 Cu 0.5000 0.5000 0.3002 x1



No. 7
LaPRu2: PBEsol geometry, meta-GGA SCAN.

formation energy	11.8	kJ per mole of atoms

Cell lengths 5.8645, 8.7091, 2.9802 Å; angles 90.00, 119.75, 90.00 degrees
Space group C2/m (No. 12)
One atom of each set of equivalent atoms:
1 La 0.0000 0.0000 0.0000 x2
2 P 0.0000 0.5000 0.0000 x2
3 Ru 0.2500 0.2500 0.0000 x4



No. 8
CdCoBr2: PBEsol geometry, meta-GGA SCAN.

ΔE to the lowest computed polymorph	1	meV per atom

Cell lengths 3.3715, 6.2699, 9.0856 Å; angles 90.00, 90.00, 90.00 degrees
Space group Cmmm (No. 65)
One atom of each set of equivalent atoms:
1 Cd 0.0000 0.0000 0.0000 x2
2 Co 0.0000 0.0000 0.5000 x2
3 Br 0.0000 0.5000 0.3234 x4



Number 1: total DFT energy (no corrections) -27.196 eV/atom. Number 2: total DFT energy (no corrections) -30.254 eV/atom. Number 3: total DFT energy (no corrections) -21.004 eV/atom. Number 4: total DFT energy (no corrections) -38.453 eV/atom. Number 5: total DFT energy (no corrections) -71.397 eV/atom. Number 6: total DFT energy (no corrections) -15.296 eV/atom. Number 7: total DFT energy (no corrections) -30.667 eV/atom. Number 8: total DFT energy (no corrections) -21.767 eV/atom.